# 1
DFT (PBE) results for RbC after structural relaxation. Values from VASP.

```
&SYSTEM
  ibrav = 0, nat = 2, ntyp = 2
/
ATOMIC_SPECIES
C 12.01 C.upf
Rb 85.47 Rb.upf
CELL_PARAMETERS angstrom
-0.338 4.394 0.421
0.471 -2.539 3.596
3.978 0.334 -0.285
ATOMIC_POSITIONS crystal
C 0.000 0.000 0.000
Rb 0.667 0.333 0.500
```

Crystal system: hexagonal
Spin magnetization, μB per formula unit: 3.00

# 2
DFT (PBE) results for RbC after structural relaxation. Values from VASP.

```
&SYSTEM
  ibrav = 0, nat = 32, ntyp = 2
/
ATOMIC_SPECIES
Rb 85.47 Rb.upf
C 12.01 C.upf
CELL_PARAMETERS angstrom
12.383 0.000 0.000
0.000 6.515 0.000
0.000 0.000 10.311
ATOMIC_POSITIONS crystal
Rb 0.000 0.500 0.697
Rb 0.500 0.000 0.303
Rb 0.500 0.000 0.697
Rb 0.500 0.500 0.197
Rb 0.750 0.750 0.553
Rb 0.250 0.750 0.053
Rb 0.750 0.250 0.447
Rb 0.000 0.000 0.803
Rb 0.000 0.500 0.303
Rb 0.750 0.250 0.053
Rb 0.750 0.750 0.947
Rb 0.250 0.250 0.553
Rb 0.500 0.500 0.803
Rb 0.250 0.750 0.447
Rb 0.250 0.250 0.947
Rb 0.000 0.000 0.197
C 0.750 0.652 0.250
C 0.250 0.848 0.750
C 0.500 0.902 0.000
C 0.750 0.848 0.250
C 0.250 0.152 0.250
C 0.750 0.348 0.750
C 0.500 0.098 0.000
C 0.250 0.348 0.250
C 0.750 0.152 0.750
C 0.500 0.402 0.500
C 0.000 0.902 0.500
C 0.000 0.598 0.000
C 0.500 0.598 0.500
C 0.000 0.402 0.000
C 0.000 0.098 0.500
C 0.250 0.652 0.750
```

Crystal system: orthorhombic
DOS at the Fermi energy, states/eV per atom: 0.0000
Spin magnetization, μB per formula unit: 0.00

# 3
DFT (PBE) results for RbC after structural relaxation. Values from VASP.

```
&SYSTEM
  ibrav = 0, nat = 6, ntyp = 2
/
ATOMIC_SPECIES
Rb 85.47 Rb.upf
C 12.01 C.upf
CELL_PARAMETERS angstrom
5.254 -4.082 6.357
6.752 -5.600 2.777
5.207 3.253 0.801
ATOMIC_POSITIONS crystal
Rb 0.223 0.223 0.701
Rb 0.064 0.064 0.368
Rb 0.954 0.954 0.996
C 0.589 0.589 0.742
C 0.402 0.402 0.426
C 0.601 0.601 0.933
```

Crystal system: monoclinic
Spin magnetization, μB per formula unit: 0.99

# 4
DFT (PBE) results for RbC3 after structural relaxation. Values from VASP.

```
&SYSTEM
  ibrav = 0, nat = 16, ntyp = 2
/
ATOMIC_SPECIES
C 12.01 C.upf
Rb 85.47 Rb.upf
CELL_PARAMETERS angstrom
5.962 0.000 0.000
-2.981 5.164 0.000
0.000 0.000 8.008
ATOMIC_POSITIONS crystal
C 0.502 0.251 0.250
C 0.749 0.498 0.250
C 0.500 0.500 0.000
C 0.000 0.500 0.500
C 0.500 0.500 0.500
C 0.749 0.251 0.250
C 0.251 0.502 0.750
C 0.500 0.000 0.000
C 0.251 0.749 0.750
C 0.000 0.500 0.000
C 0.500 0.000 0.500
C 0.498 0.749 0.750
Rb 0.333 0.667 0.250
Rb 0.667 0.333 0.750
Rb 0.000 0.000 0.500
Rb 0.000 0.000 0.000
```

Crystal system: hexagonal
DOS at the Fermi energy, states/eV per atom: 0.6202
Spin magnetization, μB per formula unit: 0.47

# 5
DFT (PBE) results for RbC after structural relaxation. Values from VASP.

```
&SYSTEM
  ibrav = 0, nat = 4, ntyp = 2
/
ATOMIC_SPECIES
Rb 85.47 Rb.upf
C 12.01 C.upf
CELL_PARAMETERS angstrom
4.165 0.000 0.000
0.000 4.890 0.000
0.000 0.000 6.083
ATOMIC_POSITIONS crystal
Rb 0.000 0.500 0.500
Rb 0.000 0.000 0.000
C 0.500 0.000 0.604
C 0.500 0.000 0.396
```

Crystal system: orthorhombic
DOS at the Fermi energy, states/eV per atom: 0.0000
Spin magnetization, μB per formula unit: 0.00

# 6
DFT (PBE) results for RbC3 after structural relaxation. Values from VASP.

```
&SYSTEM
  ibrav = 0, nat = 8, ntyp = 2
/
ATOMIC_SPECIES
C 12.01 C.upf
Rb 85.47 Rb.upf
CELL_PARAMETERS angstrom
-2.467 5.434 0.992
-1.637 -3.226 -4.849
-2.956 -1.735 2.153
ATOMIC_POSITIONS crystal
C 0.916 0.831 0.250
C 0.084 0.169 0.750
C 0.916 0.084 0.250
C 0.831 0.916 0.750
C 0.169 0.084 0.250
C 0.084 0.916 0.750
Rb 0.667 0.333 0.750
Rb 0.333 0.667 0.250
```

Crystal system: hexagonal
DOS at the Fermi energy, states/eV per atom: 0.6648
Spin magnetization, μB per formula unit: 0.00

# 7
DFT (PBE) results for Rb2C after structural relaxation. Values from VASP.

```
&SYSTEM
  ibrav = 0, nat = 3, ntyp = 2
/
ATOMIC_SPECIES
C 12.01 C.upf
Rb 85.47 Rb.upf
CELL_PARAMETERS angstrom
4.487 0.000 0.000
-2.243 3.886 0.000
0.000 0.000 8.312
ATOMIC_POSITIONS crystal
C 0.333 0.667 0.500
Rb 0.000 0.000 0.287
Rb 0.000 0.000 0.713
```

Crystal system: hexagonal
DOS at the Fermi energy, states/eV per atom: 0.6387
Spin magnetization, μB per formula unit: 2.24

# 8
DFT (PBE) results for RbC after structural relaxation. Values from VASP.

```
&SYSTEM
  ibrav = 0, nat = 12, ntyp = 2
/
ATOMIC_SPECIES
C 12.01 C.upf
Rb 85.47 Rb.upf
CELL_PARAMETERS angstrom
-2.437 -0.246 -4.245
-2.372 -3.982 1.593
-9.292 7.496 4.900
ATOMIC_POSITIONS crystal
C 0.500 0.500 0.104
C 0.500 0.500 0.896
C 0.000 0.000 0.500
C 0.500 0.500 0.000
C 0.000 0.000 0.604
C 0.000 0.000 0.396
Rb 0.000 0.000 0.000
Rb 0.500 0.500 0.500
Rb 0.000 0.500 0.250
Rb 0.500 0.000 0.750
Rb 0.000 0.500 0.750
Rb 0.500 0.000 0.250
```

Crystal system: tetragonal
DOS at the Fermi energy, states/eV per atom: 0.5067
Spin magnetization, μB per formula unit: 0.34

Polymorph energy (0 for the lowest one) values, unit meV per atom, following the record order: 2066 113 774 2251 100 1141 78 325.
DFT formation energy values, unit meV per atom, following the record order: 2360.0 407.0 1068.1 2993.7 394.1 1883.7 1503.1 618.7.